VASP calculation (PBE-GGA) on a relaxed structure of ScS2ClF.

```
5
Lattice="5.048 0.000 0.000 0.000 5.048 0.000 0.000 0.000 4.864" Properties=species:S:1:pos:R:3 pbc="T T T"
Sc 0.000 0.000 0.000
S 0.000 2.524 0.000
S 2.524 0.000 0.000
Cl 0.000 0.000 2.432
F 2.524 2.524 2.432
```

Computed properties:
**Total moment**: 3.00 Bohr magnetons per cell
**Energy relative to the elements, uncorrected**: -0.613 eV per atom
**Excess energy over the best structure of this formula in the dataset**: 0.000 eV per atom